# Tb6Ho2ErTm3, optimized geometry, DFT PBE-GGA
# - VASP energy: -4.5575 eV/atom
# - D(E_F): 15.729 states/eV per cell
# - Size of the total moment: 0.001 Bohr magnetons per cell
# - SG: C2/m (12)
# - E_form: 0.2 eV/f.u.
data_Tb6Ho2ErTm3
_cell_length_a 6.1053
_cell_length_b 6.1053
_cell_length_c 11.6548
_cell_angle_alpha 94.99
_cell_angle_beta 94.99
_cell_angle_gamma 119.95
_space_group_name_H-M_alt 'P 1'
_space_group_IT_number 1
_space_group_name_Hall 'P 1'
loop_
_atom_site_label
_atom_site_fract_x
_atom_site_fract_y
_atom_site_fract_z
Tb1 0.0840 0.4173 0.7510
Tb2 0.2492 0.2492 0.2488
Tb3 0.4173 0.0840 0.7510
Tb4 0.5827 0.9160 0.2490
Tb5 0.7508 0.7508 0.7512
Tb6 0.9160 0.5827 0.2490
Ho1 0.3334 0.6666 0.5000
Ho2 0.6666 0.3334 0.5000
Er1 0.0000 0.0000 0.5000
Tm1 0.1667 0.8333 0.0000
Tm2 0.5000 0.5000 0.0000
Tm3 0.8333 0.1667 0.0000